Entry 1:
VASP calculation (PBE) on a geometry-optimized HfZrCoAu structure.

Summary:
**Total magnetization**: 0.39 Bohr magnetons per cell
**Offset from the most stable computed form**: 0.000 kcal/mol of atoms
**Symmetry**: F-43m
**Mass density**: 12.02 g/cm³
**Crystal system**: cubic

Cell lengths 4.683, 4.683, 4.683 Å; angles 60.00, 60.00, 60.00 degrees
Positions (direct):
Co 0.250 0.250 0.250
Zr 0.000 0.000 0.000
Hf 0.500 0.500 0.500
Au 0.750 0.750 0.750

***

Entry 2:
VASP calculation (PBE) on a geometry-optimized Zn2SnW structure.

Summary:
**Total DFT energy (no corrections)**: -4.179 eV/atom
**Total magnetization**: 0.04 Bohr magnetons per cell
**Symmetry**: F-43m
**Mass density**: 10.38 g/cm³
**Crystal system**: cubic

Cell lengths 4.610, 4.610, 4.610 Å; angles 60.00, 60.00, 60.00 degrees
Positions (direct):
Zn 0.000 0.000 0.000
Zn 0.750 0.750 0.750
W 0.250 0.250 0.250
Sn 0.500 0.500 0.500

***

Entry 3:
VASP calculation (PBE) on a geometry-optimized KBiMo structure.

Summary:
**Total magnetization**: 4.00 Bohr magnetons per cell
**Offset from the most stable computed form**: 12.787 kcal/mol of atoms
**Symmetry**: F-43m
**Mass density**: 5.49 g/cm³
**Crystal system**: cubic

Cell lengths 5.281, 5.281, 5.281 Å; angles 60.00, 60.00, 60.00 degrees
Positions (direct):
Bi 0.250 0.250 0.250
K 0.000 0.000 0.000
Mo 0.750 0.750 0.750

***

Entry 4:
VASP calculation (PBE) on a geometry-optimized Si2Ni2IrPd structure.

Summary:
**Total DFT energy (no corrections)**: -6.606 eV/atom
**Total magnetization**: 0.00 Bohr magnetons per cell
**Symmetry**: P4mm
**Mass density**: 10.34 g/cm³
**Crystal system**: tetragonal

Cell lengths 3.522, 3.522, 6.112 Å; angles 90.00, 90.00, 90.00 degrees
Positions (direct):
Ir 0.000 0.000 0.139
Ni 0.500 0.000 0.499
Ni 0.000 0.500 0.499
Si 0.000 0.000 0.748
Si 0.500 0.500 0.251
Pd 0.500 0.500 0.862

***

Entry 5:
VASP calculation (PBE) on a geometry-optimized NdHoCu2P4 structure.

Summary:
**Total DFT energy (no corrections)**: -5.656 eV/atom
**Total magnetization**: 0.00 Bohr magnetons per cell
**Symmetry**: P4mm
**Mass density**: 6.70 g/cm³
**Crystal system**: tetragonal

Cell lengths 3.753, 3.753, 9.865 Å; angles 90.00, 90.00, 90.00 degrees
Positions (direct):
Ho 0.000 0.000 0.766
Nd 0.500 0.500 0.231
P 0.000 0.500 0.992
P 0.000 0.000 0.355
P 0.500 0.000 0.992
P 0.500 0.500 0.656
Cu 0.000 0.500 0.504
Cu 0.500 0.000 0.504

***

Entry 6:
VASP calculation (PBE) on a geometry-optimized Cs2YErSe4 structure.

Summary:
**Total DFT energy (no corrections)**: -5.062 eV/atom
**Total magnetization**: 0.00 Bohr magnetons per cell
**Symmetry**: P-3m1
**Mass density**: 5.36 g/cm³
**Crystal system**: trigonal

Cell lengths 4.238, 4.238, 16.682 Å; angles 90.00, 90.00, 120.00 degrees
Positions (direct):
Se 0.333 0.667 0.094
Se 0.333 0.667 0.408
Se 0.667 0.333 0.906
Se 0.667 0.333 0.592
Er 0.000 0.000 0.500
Cs 0.333 0.667 0.749
Cs 0.667 0.333 0.251
Y 0.000 0.000 0.000

***

Entry 7:
VASP calculation (PBE) on a geometry-optimized TbHI2 structure.

Summary:
**Total DFT energy (no corrections)**: -3.972 eV/atom
**Total magnetization**: 0.00 Bohr magnetons per cell
**Symmetry**: R3m
**Mass density**: 5.97 g/cm³
**Crystal system**: trigonal

Cell lengths 4.011, 4.011, 8.580 Å; angles 103.54, 103.54, 60.00 degrees
Positions (direct):
H 0.271 0.271 0.312
I 0.023 0.023 0.569
I 0.852 0.852 0.056
Tb 0.604 0.604 0.313

***

Entry 8:
VASP calculation (PBE) on a geometry-optimized InTcOs2 structure.

Summary:
**Total DFT energy (no corrections)**: -8.297 eV/atom
**Total magnetization**: 0.74 Bohr magnetons per cell
**Symmetry**: F-43m
**Mass density**: 15.62 g/cm³
**Crystal system**: cubic

Cell lengths 4.468, 4.468, 4.468 Å; angles 60.00, 60.00, 60.00 degrees
Positions (direct):
Os 0.000 0.000 0.000
Os 0.750 0.750 0.750
Tc 0.250 0.250 0.250
In 0.500 0.500 0.500

***

Entry 9:
VASP calculation (PBE) on a geometry-optimized HoTa2O6 structure.

Summary:
**Total magnetization**: 0.16 Bohr magnetons per cell
**Offset from the most stable computed form**: 0.451 kcal/mol of atoms
**Symmetry**: C2/m
**Mass density**: 8.56 g/cm³
**Crystal system**: monoclinic

Cell lengths 5.386, 5.386, 7.098 Å; angles 115.53, 115.53, 41.37 degrees
Positions (direct):
O 0.019 0.019 0.698
O 0.291 0.291 0.421
O 0.981 0.981 0.302
O 0.709 0.709 0.579
O 0.350 0.350 0.894
O 0.650 0.650 0.106
Ho 0.000 0.000 0.000
Ta 0.824 0.824 0.379
Ta 0.176 0.176 0.621

***

Entry 10:
VASP calculation (PBE) on a geometry-optimized Pm4CoBr5 structure.

Summary:
**Total DFT energy (no corrections)**: -4.798 eV/atom
**Total magnetization**: 0.00 Bohr magnetons per cell
**Symmetry**: C2/m
**Mass density**: 5.42 g/cm³
**Crystal system**: monoclinic

Cell lengths 9.694, 9.694, 8.622 Å; angles 103.44, 103.44, 23.85 degrees
Positions (direct):
Br 0.833 0.833 0.656
Br 0.500 0.500 0.500
Br 0.174 0.174 0.842
Br 0.826 0.826 0.158
Br 0.167 0.167 0.344
Co 0.500 0.500 0.000
Pm 0.648 0.648 0.085
Pm 0.000 0.000 0.789
Pm 0.000 0.000 0.211
Pm 0.352 0.352 0.915

***

Entry 11:
VASP calculation (PBE) on a geometry-optimized Er3Zn3Cu2Ni structure.

Summary:
**Total DFT energy (no corrections)**: -3.764 eV/atom
**Total magnetization**: 0.00 Bohr magnetons per cell
**Symmetry**: P-62m
**Mass density**: 9.02 g/cm³
**Crystal system**: hexagonal

Cell lengths 7.041, 7.041, 3.791 Å; angles 90.00, 90.00, 120.00 degrees
Positions (direct):
Cu 0.333 0.667 0.500
Cu 0.667 0.333 0.500
Zn 0.000 0.758 0.500
Zn 0.242 0.242 0.500
Zn 0.758 0.000 0.500
Er 0.597 0.597 0.000
Er 0.403 0.000 0.000
Er 0.000 0.403 0.000
Ni 0.000 0.000 0.000

***

Entry 12:
VASP calculation (PBE) on a geometry-optimized CsGdHgTe3 structure.

Summary:
**Total magnetization**: 0.00 Bohr magnetons per cell
**Offset from the most stable computed form**: 0.000 kcal/mol of atoms
**Symmetry**: Cmcm
**Mass density**: 6.25 g/cm³
**Crystal system**: orthorhombic

Cell lengths 8.916, 8.916, 11.857 Å; angles 90.00, 90.00, 150.50 degrees
Positions (direct):
Te 0.567 0.433 0.750
Te 0.877 0.123 0.955
Te 0.433 0.567 0.250
Te 0.877 0.123 0.545
Te 0.123 0.877 0.455
Te 0.123 0.877 0.045
Gd 0.500 0.500 0.500
Gd 0.500 0.500 0.000
Hg 0.960 0.040 0.750
Hg 0.040 0.960 0.250
Cs 0.747 0.253 0.250
Cs 0.253 0.747 0.750

***

Entry 13:
VASP calculation (PBE) on a geometry-optimized ErAlGa4Co structure.

Summary:
**Total DFT energy (no corrections)**: -4.372 eV/atom
**Total magnetization**: 0.00 Bohr magnetons per cell
**Symmetry**: P4/mmm
**Mass density**: 7.39 g/cm³
**Crystal system**: tetragonal

Cell lengths 4.213, 4.213, 6.739 Å; angles 90.00, 90.00, 90.00 degrees
Positions (direct):
Ga 0.500 0.000 0.692
Ga 0.000 0.500 0.308
Ga 0.500 0.000 0.308
Ga 0.000 0.500 0.692
Co 0.000 0.000 0.500
Er 0.000 0.000 0.000
Al 0.500 0.500 0.000

***

Entry 14:
VASP calculation (PBE) on a geometry-optimized FeCo2 structure.

Summary:
**Total DFT energy (no corrections)**: -6.440 eV/atom
**Total magnetization**: 10.74 Bohr magnetons per cell
**Symmetry**: P4_2/mnm
**Mass density**: 7.35 g/cm³
**Crystal system**: tetragonal

Cell lengths 5.480, 5.480, 2.614 Å; angles 90.00, 90.00, 90.00 degrees
Positions (direct):
Co 0.729 0.729 0.000
Co 0.229 0.771 0.500
Co 0.271 0.271 0.000
Co 0.771 0.229 0.500
Fe 0.000 0.000 0.000
Fe 0.500 0.500 0.500

***

Entry 15:
VASP calculation (PBE) on a geometry-optimized TmHgAu structure.

Summary:
**Total DFT energy (no corrections)**: -3.330 eV/atom
**Total magnetization**: 0.00 Bohr magnetons per cell
**Symmetry**: P6_3/mmc
**Mass density**: 14.20 g/cm³
**Crystal system**: hexagonal

Cell lengths 5.026, 5.026, 6.059 Å; angles 90.00, 90.00, 120.01 degrees
Positions (direct):
Au 0.833 0.167 0.750
Au 0.167 0.833 0.250
Tm 0.167 0.833 0.750
Tm 0.833 0.167 0.250
Hg 0.500 0.500 0.000
Hg 0.500 0.500 0.500

***

Entry 16:
VASP calculation (PBE) on a geometry-optimized Te6IrCl3 structure.

Summary:
**Total DFT energy (no corrections)**: -3.689 eV/atom
**Total magnetization**: 0.01 Bohr magnetons per cell
**Symmetry**: R-3c
**Mass density**: 5.67 g/cm³
**Crystal system**: trigonal

Cell lengths 9.142, 9.142, 9.142 Å; angles 107.70, 107.70, 107.70 degrees
Positions (direct):
Te 0.825 0.077 0.811
Te 0.189 0.175 0.923
Te 0.325 0.311 0.577
Te 0.577 0.325 0.311
Te 0.311 0.577 0.325
Te 0.675 0.689 0.423
Te 0.077 0.811 0.825
Te 0.811 0.825 0.077
Te 0.689 0.423 0.675
Te 0.175 0.923 0.189
Te 0.423 0.675 0.689
Te 0.923 0.189 0.175
Ir 0.750 0.750 0.750
Ir 0.250 0.250 0.250
Cl 0.514 0.986 0.250
Cl 0.986 0.250 0.514
Cl 0.250 0.514 0.986
Cl 0.014 0.750 0.486
Cl 0.750 0.486 0.014
Cl 0.486 0.014 0.750

***

Entry 17:
VASP calculation (PBE) on a geometry-optimized Na2OsCl6 structure.

Summary:
**Total magnetization**: 2.00 Bohr magnetons per cell
**Offset from the most stable computed form**: 0.801 kcal/mol of atoms
**Symmetry**: Fm-3m
**Mass density**: 3.40 g/cm³
**Crystal system**: cubic

Cell lengths 6.767, 6.767, 6.767 Å; angles 120.04, 120.04, 89.92 degrees
Positions (direct):
Cl 0.244 0.244 0.488
Cl 0.244 0.756 0.000
Cl 0.756 0.756 0.512
Cl 0.756 0.244 0.000
Cl 0.244 0.244 0.000
Cl 0.756 0.756 0.000
Na 0.750 0.250 0.500
Na 0.250 0.750 0.500
Os 0.000 0.000 0.000

***

Entry 18:
VASP calculation (PBE) on a geometry-optimized LuSiNiAu structure.

Summary:
**Total DFT energy (no corrections)**: -5.040 eV/atom
**Total magnetization**: 0.01 Bohr magnetons per cell
**Symmetry**: F-43m
**Mass density**: 11.23 g/cm³
**Crystal system**: cubic

Cell lengths 4.577, 4.577, 4.577 Å; angles 60.00, 60.00, 60.00 degrees
Positions (direct):
Au 0.500 0.500 0.500
Si 0.000 0.000 0.000
Ni 0.750 0.750 0.750
Lu 0.250 0.250 0.250

***

Entry 19:
VASP calculation (PBE) on a geometry-optimized CdTc2Ag structure.

Summary:
**Total DFT energy (no corrections)**: -5.555 eV/atom
**Total magnetization**: 0.01 Bohr magnetons per cell
**Symmetry**: F-43m
**Mass density**: 10.46 g/cm³
**Crystal system**: cubic

Cell lengths 4.538, 4.538, 4.538 Å; angles 60.00, 60.00, 60.00 degrees
Positions (direct):
Tc 0.250 0.250 0.250
Tc 0.000 0.000 0.000
Cd 0.500 0.500 0.500
Ag 0.750 0.750 0.750

***

Entry 20:
VASP calculation (PBE) on a geometry-optimized DyYAg2Ge2 structure.

Summary:
**Total DFT energy (no corrections)**: -4.943 eV/atom
**Total magnetization**: 0.00 Bohr magnetons per cell
**Symmetry**: P3m1
**Mass density**: 7.93 g/cm³
**Crystal system**: trigonal

Cell lengths 4.507, 4.507, 7.287 Å; angles 90.00, 90.00, 120.00 degrees
Positions (direct):
Ag 0.667 0.333 0.459
Ag 0.333 0.667 0.961
Dy 0.000 0.000 0.247
Y 0.000 0.000 0.747
Ge 0.333 0.667 0.542
Ge 0.667 0.333 0.044

***

Entry 21:
VASP calculation (PBE) on a geometry-optimized KSmCo structure.

Summary:
**Total magnetization**: 0.36 Bohr magnetons per cell
**Offset from the most stable computed form**: 0.000 kcal/mol of atoms
**Symmetry**: F-43m
**Mass density**: 4.96 g/cm³
**Crystal system**: cubic

Cell lengths 4.900, 4.900, 4.900 Å; angles 60.00, 60.00, 60.00 degrees
Positions (direct):
Sm 0.750 0.750 0.750
K 0.250 0.250 0.250
Co 0.000 0.000 0.000

***

Entry 22:
VASP calculation (PBE) on a geometry-optimized MgZrTcSb structure.

Summary:
**Total magnetization**: 0.00 Bohr magnetons per cell
**Offset from the most stable computed form**: 0.000 kcal/mol of atoms
**Symmetry**: F-43m
**Mass density**: 7.63 g/cm³
**Crystal system**: cubic

Cell lengths 4.691, 4.691, 4.691 Å; angles 60.00, 60.00, 60.00 degrees
Positions (direct):
Zr 0.000 0.000 0.000
Sb 0.500 0.500 0.500
Tc 0.250 0.250 0.250
Mg 0.750 0.750 0.750

***

Entry 23:
VASP calculation (PBE) on a geometry-optimized NpScCd structure.

Summary:
**Total DFT energy (no corrections)**: -5.857 eV/atom
**Total magnetization**: 5.04 Bohr magnetons per cell
**Symmetry**: F-43m
**Mass density**: 8.25 g/cm³
**Crystal system**: cubic

Cell lengths 4.824, 4.824, 4.824 Å; angles 60.00, 60.00, 60.00 degrees
Positions (direct):
Np 0.750 0.750 0.750
Sc 0.000 0.000 0.000
Cd 0.250 0.250 0.250

***

Entry 24:
VASP calculation (PBE) on a geometry-optimized Li2MgCd structure.

Summary:
**Offset from the most stable computed form**: 2.504 kcal/mol of atoms
**Symmetry**: P6_3/mmc
**Mass density**: 3.30 g/cm³
**Crystal system**: hexagonal

Cell lengths 4.710, 4.710, 7.890 Å; angles 90.00, 90.00, 120.00 degrees
Positions (direct):
Cd 0.667 0.333 0.750
Cd 0.333 0.667 0.250
Mg 0.000 0.000 0.500
Mg 0.000 0.000 0.000
Li 0.667 0.333 0.407
Li 0.333 0.667 0.907
Li 0.667 0.333 0.093
Li 0.333 0.667 0.593

***

Entry 25:
VASP calculation (PBE) on a geometry-optimized K2Cu structure.

Summary:
**Offset from the most stable computed form**: 6.470 kcal/mol of atoms
**Symmetry**: Fd-3m
**Mass density**: 0.67 g/cm³
**Crystal system**: cubic

Cell lengths 9.971, 9.971, 9.971 Å; angles 60.00, 60.00, 60.00 degrees
Positions (direct):
K 0.375 0.375 0.875
K 0.875 0.375 0.375
K 0.375 0.375 0.375
K 0.375 0.875 0.375
Cu 0.250 0.250 0.250
Cu 0.500 0.500 0.500

***

Entry 26:
VASP calculation (PBE) on a geometry-optimized BaZr2Pt2 structure.

Summary:
**Total DFT energy (no corrections)**: -6.974 eV/atom
**Total magnetization**: 0.00 Bohr magnetons per cell
**Symmetry**: I4/mmm
**Mass density**: 9.48 g/cm³
**Crystal system**: tetragonal

Cell lengths 6.465, 6.465, 6.465 Å; angles 136.94, 136.94, 62.52 degrees
Positions (direct):
Ba 0.000 0.000 0.000
Zr 0.750 0.250 0.500
Zr 0.250 0.750 0.500
Pt 0.372 0.372 0.000
Pt 0.628 0.628 0.000